(1)
VASP calculation (PBE-GGA) on a relaxed SrLi9Cd3 crystal.

It has space group C2/m (No. 12), with a = 5.761 Å, b = 14.106 Å, c = 7.506 Å, α = 90.00°, β = 110.51° and γ = 90.00°. The inequivalent atoms are Sr at (0.000, 0.000, 0.000), Li at (0.000, 0.500, 0.500), Li at (0.113, 0.387, 0.227), Li at (0.158, 0.179, 0.351), Cd at (0.000, 0.000, 0.500) and Cd at (0.250, 0.250, 0.000).

Its density of states at the Fermi level is 13.2 states/eV/cell. As for the formation energy: -145 meV per atom. For the size of the total moment, the calculation gives 0.00 Bohr magnetons per cell.

---

(2)
VASP calculation (PBE-GGA) on a relaxed SrLiCd5 crystal.

It has space group Cmmm (No. 65), with a = 5.723 Å, b = 9.381 Å, c = 7.180 Å, α = 90.00°, β = 90.00° and γ = 90.00°. The inequivalent atoms are Sr at (0.000, 0.000, 0.000), Li at (0.000, 0.500, 0.500), Cd at (0.000, 0.000, 0.500) and Cd at (0.250, 0.250, 0.285).

Its density of states at the Fermi level is 6.1 states/eV/cell. As for the formation energy: -127 meV per atom. For the size of the total moment, the calculation gives 0.00 Bohr magnetons per cell.

---

(3)
VASP calculation (PBE-GGA) on a relaxed Sr3Li6Cd2 crystal.

It has space group Im-3m (No. 229), with a = 10.737 Å, b = 10.737 Å, c = 10.737 Å, α = 90.00°, β = 90.00° and γ = 90.00°. The inequivalent atoms are Sr at (0.000, 0.000, 0.274), Li at (0.000, 0.332, 0.332) and Cd at (0.250, 0.250, 0.250).

Its density of states at the Fermi level is 33.5 states/eV/cell. As for the formation energy: -130 meV per atom. For the size of the total moment, the calculation gives 0.32 Bohr magnetons per cell.

---

(4)
VASP calculation (PBE-GGA) on a relaxed SrLi2Cd crystal.

It has space group C2/m (No. 12), with a = 6.556 Å, b = 10.790 Å, c = 3.853 Å, α = 90.00°, β = 121.32° and γ = 90.00°. The inequivalent atoms are Sr at (0.000, 0.000, 0.000), Li at (0.250, 0.250, 0.500) and Cd at (0.000, 0.500, 0.000).

Its density of states at the Fermi level is 5.6 states/eV/cell. As for the formation energy: 19 meV per atom. For the size of the total moment, the calculation gives 0.00 Bohr magnetons per cell.

---

(5)
VASP calculation (PBE-GGA) on a relaxed Sr2LiCd crystal.

It has space group Cm (No. 8), with a = 12.756 Å, b = 3.867 Å, c = 5.996 Å, α = 90.00°, β = 109.76° and γ = 90.00°. The inequivalent atoms are Sr at (0.000, 0.000, 0.000), Sr at (0.204, 0.000, 0.645), Li at (0.275, 0.500, 0.214) and Cd at (0.455, 0.000, 0.467).

Its density of states at the Fermi level is 6.9 states/eV/cell. As for the formation energy: -124 meV per atom. For the size of the total moment, the calculation gives 0.00 Bohr magnetons per cell.

---

(6)
VASP calculation (PBE-GGA) on a relaxed Sr2LiCd crystal.

It has space group I-42d (No. 122), with a = 9.106 Å, b = 9.106 Å, c = 7.559 Å, α = 90.00°, β = 90.00° and γ = 90.00°. The inequivalent atoms are Sr at (0.244, 0.750, 0.125), Li at (0.000, 0.000, 0.500) and Cd at (0.000, 0.000, 0.000).

Its density of states at the Fermi level is 14.7 states/eV/cell. As for the formation energy: 77 meV per atom. For the size of the total moment, the calculation gives 0.00 Bohr magnetons per cell.

---

(7)
VASP calculation (PBE-GGA) on a relaxed Sr2Li2Cd crystal.

It has space group I4/mmm (No. 139), with a = 6.330 Å, b = 6.330 Å, c = 8.210 Å, α = 90.00°, β = 90.00° and γ = 90.00°. The inequivalent atoms are Sr at (0.000, 0.500, 0.250), Li at (0.000, 0.000, 0.152) and Cd at (0.000, 0.000, 0.500).

For the energy above the lowest structure with this stoichiometry, the calculation gives 153 meV/atom. Its density of states at the Fermi level is 6.7 states/eV/cell. As for the formation energy: 17 meV per atom. For the size of the total moment, the calculation gives 0.00 Bohr magnetons per cell.

---

(8)
VASP calculation (PBE-GGA) on a relaxed Sr2LiCd crystal.

It has space group R3m (No. 160, hexagonal axes), with a = 4.7901 Å, b = 4.7901 Å, c = 23.6427 Å, α = 90.00°, β = 90.00° and γ = 120.00°. The inequivalent atoms are Sr at (0.0000, 0.0000, 0.0000), Sr at (0.0000, 0.0000, 0.1849), Li at (0.0000, 0.0000, 0.4255) and Cd at (0.0000, 0.0000, 0.7590).

Its density of states at the Fermi level is 7.4 states/eV/cell. As for the formation energy: -130 meV per atom. For the size of the total moment, the calculation gives 0.00 Bohr magnetons per cell.

---

(9)
VASP calculation (PBE-GGA) on a relaxed Sr4Li2Cd crystal.

It has space group R-3m (No. 166, hexagonal axes), with a = 5.8449 Å, b = 5.8449 Å, c = 28.4776 Å, α = 90.00°, β = 90.00° and γ = 120.00°. The inequivalent atoms are Sr at (0.0000, 0.0000, 0.1251), Sr at (0.0000, 0.0000, 0.3753), Li at (0.0000, 0.0000, 0.2458) and Cd at (0.0000, 0.0000, 0.5000).

Its density of states at the Fermi level is 25.9 states/eV/cell. As for the formation energy: -12 meV per atom. For the size of the total moment, the calculation gives 0.00 Bohr magnetons per cell.

---

(10)
VASP calculation (PBE-GGA) on a relaxed SrLi4Cd8 crystal.

It has space group I4/mmm (No. 139), with a = 10.188 Å, b = 10.188 Å, c = 5.372 Å, α = 90.00°, β = 90.00° and γ = 90.00°. The inequivalent atoms are Sr at (0.000, 0.000, 0.000), Li at (0.250, 0.250, 0.250), Cd at (0.000, 0.217, 0.500) and Cd at (0.000, 0.353, 0.000).

Its density of states at the Fermi level is 11.4 states/eV/cell. As for the formation energy: -243 meV per atom. For the size of the total moment, the calculation gives 0.00 Bohr magnetons per cell.

---

(11)
VASP calculation (PBE-GGA) on a relaxed Sr2Li5Cd crystal.

It has space group I4mm (No. 107), with a = 6.376 Å, b = 6.376 Å, c = 12.499 Å, α = 90.00°, β = 90.00° and γ = 90.00°. The inequivalent atoms are Sr at (0.000, 0.500, 0.000), Li at (0.000, 0.000, 0.386), Li at (0.246, 0.246, 0.745) and Cd at (0.000, 0.000, 0.605).

Its density of states at the Fermi level is 15.6 states/eV/cell. As for the formation energy: 0 meV per atom. For the size of the total moment, the calculation gives 0.00 Bohr magnetons per cell.

---

(12)
VASP calculation (PBE-GGA) on a relaxed Sr4LiCd crystal.

It has space group F-43m (No. 216), with a = 10.658 Å, b = 10.658 Å, c = 10.658 Å, α = 90.00°, β = 90.00° and γ = 90.00°. The inequivalent atoms are Sr at (0.125, 0.125, 0.125), Li at (0.000, 0.000, 0.500) and Cd at (0.250, 0.250, 0.750).

For the energy above the lowest structure with this stoichiometry, the calculation gives 469 meV/atom. Its density of states at the Fermi level is 34.0 states/eV/cell. As for the formation energy: 366 meV per atom. For the size of the total moment, the calculation gives 0.00 Bohr magnetons per cell.

---

(13)
VASP calculation (PBE-GGA) on a relaxed Sr2Li2Cd crystal.

It has space group P4/mbm (No. 127), with a = 8.033 Å, b = 8.033 Å, c = 5.045 Å, α = 90.00°, β = 90.00° and γ = 90.00°. The inequivalent atoms are Sr at (0.184, 0.316, 0.000), Li at (0.127, 0.627, 0.500) and Cd at (0.000, 0.000, 0.500).

For the energy above the lowest structure with this stoichiometry, the calculation gives 75 meV/atom. Its density of states at the Fermi level is 9.2 states/eV/cell. As for the formation energy: -61 meV per atom. For the size of the total moment, the calculation gives 0.00 Bohr magnetons per cell.

---

(14)
VASP calculation (PBE-GGA) on a relaxed SrLi14Cd crystal.

It has space group Amm2 (No. 38), with a = 9.921 Å, b = 6.993 Å, c = 10.208 Å, α = 90.00°, β = 90.00° and γ = 90.00°. The inequivalent atoms are Sr at (0.000, 0.000, 0.000), Li at (0.000, 0.207, 0.725), Li at (0.235, 0.000, 0.273), Li at (0.264, 0.218, 0.527), Li at (0.273, 0.000, 0.782), Li at (0.500, 0.000, 0.042), Li at (0.500, 0.000, 0.570), Li at (0.500, 0.223, 0.305) and Cd at (0.000, 0.000, 0.454).

Its density of states at the Fermi level is 15.2 states/eV/cell. As for the formation energy: 10 meV per atom. For the size of the total moment, the calculation gives 0.00 Bohr magnetons per cell.

---

(15)
VASP calculation (PBE-GGA) on a relaxed Sr4LiCd crystal.

It has space group P4/mmm (No. 123), with a = 4.178 Å, b = 4.178 Å, c = 14.346 Å, α = 90.00°, β = 90.00° and γ = 90.00°. The inequivalent atoms are Sr at (0.000, 0.000, 0.136), Sr at (0.500, 0.500, 0.354), Li at (0.000, 0.000, 0.500) and Cd at (0.500, 0.500, 0.000).

For the energy above the lowest structure with this stoichiometry, the calculation gives 0 meV/atom. Its density of states at the Fermi level is 5.8 states/eV/cell. As for the formation energy: -103 meV per atom. For the size of the total moment, the calculation gives 0.00 Bohr magnetons per cell.

---

(16)
VASP calculation (PBE-GGA) on a relaxed Sr2Li3Cd4 crystal.

It has space group Cmce (No. 64), with a = 6.529 Å, b = 16.975 Å, c = 8.505 Å, α = 90.00°, β = 90.00° and γ = 90.00°. The inequivalent atoms are Sr at (0.000, 0.113, 0.092), Li at (0.000, 0.000, 0.500), Li at (0.250, 0.224, 0.750), Cd at (0.000, 0.180, 0.484) and Cd at (0.250, 0.056, 0.750).

Its density of states at the Fermi level is 25.2 states/eV/cell. As for the formation energy: -231 meV per atom. For the size of the total moment, the calculation gives 0.00 Bohr magnetons per cell.

---

(17)
VASP calculation (PBE-GGA) on a relaxed Sr2LiCd crystal.

It has space group R-3m (No. 166, hexagonal axes), with a = 4.2415 Å, b = 4.2415 Å, c = 31.0645 Å, α = 90.00°, β = 90.00° and γ = 120.00°. The inequivalent atoms are Sr at (0.0000, 0.0000, 0.2433), Li at (0.0000, 0.0000, 0.0000) and Cd at (0.0000, 0.0000, 0.5000).

Its density of states at the Fermi level is 10.5 states/eV/cell. As for the formation energy: -1 meV per atom. For the size of the total moment, the calculation gives 0.04 Bohr magnetons per cell.

---

(18)
VASP calculation (PBE-GGA) on a relaxed SrLi2Cd crystal.

It has space group Imm2 (No. 44), with a = 4.649 Å, b = 5.053 Å, c = 9.407 Å, α = 90.00°, β = 90.00° and γ = 90.00°. The inequivalent atoms are Sr at (0.000, 0.000, 0.000), Li at (0.000, 0.000, 0.513), Li at (0.000, 0.500, 0.764) and Cd at (0.000, 0.500, 0.239).

Its density of states at the Fermi level is 5.9 states/eV/cell. As for the formation energy: -87 meV per atom. For the size of the total moment, the calculation gives 0.00 Bohr magnetons per cell.

---

(19)
VASP calculation (PBE-GGA) on a relaxed Sr4LiCd3 crystal.

It has space group Pmm2 (No. 25), with a = 4.477 Å, b = 5.103 Å, c = 12.661 Å, α = 90.00°, β = 90.00° and γ = 90.00°. The inequivalent atoms are Sr at (0.000, 0.000, 0.000), Sr at (0.000, 0.500, 0.285), Sr at (0.500, 0.000, 0.491), Sr at (0.500, 0.500, 0.787), Li at (0.000, 0.000, 0.700), Cd at (0.000, 0.500, 0.575), Cd at (0.500, 0.000, 0.212) and Cd at (0.500, 0.500, 0.069).

For the energy above the lowest structure with this stoichiometry, the calculation gives 10 meV/atom. Its density of states at the Fermi level is 6.4 states/eV/cell. As for the formation energy: -241 meV per atom. For the size of the total moment, the calculation gives 0.00 Bohr magnetons per cell.

---

(20)
VASP calculation (PBE-GGA) on a relaxed SrLi3Cd9 crystal.

It has space group C2/m (No. 12), with a = 5.495 Å, b = 14.463 Å, c = 7.630 Å, α = 90.00°, β = 109.81° and γ = 90.00°. The inequivalent atoms are Sr at (0.000, 0.000, 0.000), Li at (0.000, 0.000, 0.500), Li at (0.250, 0.250, 0.000), Cd at (0.000, 0.500, 0.500), Cd at (0.107, 0.387, 0.213) and Cd at (0.159, 0.178, 0.347).

Its density of states at the Fermi level is 10.9 states/eV/cell. As for the formation energy: -227 meV per atom. For the size of the total moment, the calculation gives 0.00 Bohr magnetons per cell.

---

(21)
VASP calculation (PBE-GGA) on a relaxed Sr3Li4Cd crystal.

It has space group Pmmn (No. 59, origin choice 2), with a = 4.441 Å, b = 10.672 Å, c = 11.046 Å, α = 90.00°, β = 90.00° and γ = 90.00°. The inequivalent atoms are Sr at (0.250, 0.029, 0.154), Sr at (0.250, 0.750, 0.613), Li at (0.250, 0.085, 0.589), Li at (0.250, 0.750, 0.302), Li at (0.250, 0.750, 0.977) and Cd at (0.250, 0.250, 0.860).

Its density of states at the Fermi level is 10.9 states/eV/cell. As for the formation energy: -47 meV per atom. For the size of the total moment, the calculation gives 0.00 Bohr magnetons per cell.

---

(22)
VASP calculation (PBE-GGA) on a relaxed Sr3LiCd2 crystal.

It has space group P4/mmm (No. 123), with a = 4.096 Å, b = 4.096 Å, c = 12.400 Å, α = 90.00°, β = 90.00° and γ = 90.00°. The inequivalent atoms are Sr at (0.000, 0.000, 0.000), Sr at (0.000, 0.000, 0.323), Li at (0.500, 0.500, 0.500) and Cd at (0.500, 0.500, 0.168).

Its density of states at the Fermi level is 4.2 states/eV/cell. As for the formation energy: -225 meV per atom. For the size of the total moment, the calculation gives 0.00 Bohr magnetons per cell.